No. 1
{"formula": "LaSnSeN2", "functional": "PBEsol", "state": "optimized geometry", "lattice": [[-3.969, 0.953, -1.152], [-0.053, -3.357, -2.592], [-2.145, -3.461, 4.526]], "species": ["La", "Sn", "N", "N", "Se"], "fractional_positions": [[0.000, 0.000, 0.000], [0.500, 0.500, 0.500], [0.000, 0.500, 0.000], [0.500, 0.000, 0.000], [0.000, 0.000, 0.500]], "spacegroup": "P4/mmm", "dft_energy_ev_per_atom": -5.67}

No. 2
{"formula": "CdCu", "functional": "PBEsol", "state": "optimized geometry", "lattice": [[-0.286, 0.305, -5.385], [6.688, -3.847, -0.573], [-4.502, -7.798, -0.203]], "species": ["Cu", "Cu", "Cu", "Cu", "Cu", "Cu", "Cu", "Cu", "Cu", "Cu", "Cu", "Cu", "Cd", "Cd", "Cd", "Cd", "Cd", "Cd", "Cd", "Cd", "Cd", "Cd", "Cd", "Cd"], "fractional_positions": [[0.000, 0.750, 0.421], [0.250, 0.952, 0.079], [0.500, 0.250, 0.579], [0.000, 0.250, 0.579], [0.750, 0.615, 0.627], [0.750, 0.048, 0.921], [0.250, 0.385, 0.373], [0.750, 0.115, 0.373], [0.500, 0.750, 0.421], [0.250, 0.885, 0.627], [0.250, 0.452, 0.921], [0.750, 0.548, 0.079], [0.500, 0.250, 0.124], [0.750, 0.369, 0.824], [0.250, 0.042, 0.369], [0.000, 0.750, 0.876], [0.500, 0.750, 0.876], [0.000, 0.250, 0.124], [0.250, 0.542, 0.631], [0.750, 0.958, 0.631], [0.250, 0.131, 0.824], [0.750, 0.869, 0.176], [0.250, 0.631, 0.176], [0.750, 0.458, 0.369]], "spacegroup": "Pbcm", "formation_enthalpy_0k_ev_per_atom": 0.084}